No. 1
## RbTbTm4S8 (GGA-PBE)

Data for a relaxed RbTbTm4S8 crystal.

Geometry as CIF:
```
data_RbTbTm4S8
_chemical_formula_sum 'Rb1 Tb1 Tm4 S8'
_cell_length_a 8.2341
_cell_length_b 8.2341
_cell_length_c 8.2341
_cell_angle_alpha 59.45
_cell_angle_beta 59.45
_cell_angle_gamma 59.45
_space_group_name_H-M_alt 'P 1'
_space_group_IT_number 1
_space_group_name_Hall 'P 1'
loop_
_atom_site_label
_atom_site_fract_x
_atom_site_fract_y
_atom_site_fract_z
Rb1 0.0000 0.0000 0.0000
Tb1 0.6329 0.6329 0.6329
Tm1 0.1141 0.6322 0.6322
Tm2 0.2530 0.2530 0.2530
Tm3 0.6322 0.1141 0.6322
Tm4 0.6322 0.6322 0.1141
S1 0.3831 0.3831 0.8576
S2 0.3831 0.8576 0.3831
S3 0.3848 0.3848 0.3848
S4 0.4340 0.8620 0.8620
S5 0.8576 0.3831 0.3831
S6 0.8575 0.8575 0.8575
S7 0.8620 0.4340 0.8620
S8 0.8620 0.8620 0.4340
```

Results
theoretical density: 5.013 g/cm³
symmetry: R3m, No. 160



No. 2
## RbTb4TmS8 (GGA-PBE)

Data for a relaxed RbTb4TmS8 crystal.

Geometry as CIF:
```
data_RbTb4TmS8
_chemical_formula_sum 'Rb1 Tb4 Tm1 S8'
_cell_length_a 8.2459
_cell_length_b 8.2459
_cell_length_c 8.2459
_cell_angle_alpha 60.53
_cell_angle_beta 60.53
_cell_angle_gamma 60.53
_space_group_name_H-M_alt 'P 1'
_space_group_IT_number 1
_space_group_name_Hall 'P 1'
loop_
_atom_site_label
_atom_site_fract_x
_atom_site_fract_y
_atom_site_fract_z
Rb1 0.0000 0.0000 0.0000
Tb1 0.3728 0.3728 0.8919
Tb2 0.3728 0.8919 0.3728
Tb3 0.7529 0.7529 0.7529
Tb4 0.8919 0.3728 0.3728
Tm1 0.3735 0.3735 0.3735
S1 0.1456 0.1456 0.1456
S2 0.1499 0.1499 0.5698
S3 0.1499 0.5698 0.1499
S4 0.1505 0.6187 0.6187
S5 0.5698 0.1499 0.1499
S6 0.6187 0.1505 0.6187
S7 0.6187 0.6187 0.1505
S8 0.6203 0.6203 0.6203
```

Results
theoretical density: 4.745 g/cm³
symmetry: R3m, No. 160



No. 3
## Rb4Tb3US8 (GGA-PBE)

Data for a relaxed Rb4Tb3US8 crystal.

Geometry as CIF:
```
data_Rb4Tb3US8
_chemical_formula_sum 'Rb4 Tb3 U1 S8'
_cell_length_a 9.0379
_cell_length_b 9.0379
_cell_length_c 9.0379
_cell_angle_alpha 54.00
_cell_angle_beta 54.00
_cell_angle_gamma 54.00
_space_group_name_H-M_alt 'P 1'
_space_group_IT_number 1
_space_group_name_Hall 'P 1'
loop_
_atom_site_label
_atom_site_fract_x
_atom_site_fract_y
_atom_site_fract_z
Rb1 0.0000 0.0000 0.0000
Rb2 0.0000 0.5000 0.5000
Rb3 0.5000 0.0000 0.5000
Rb4 0.5000 0.5000 0.0000
Tb1 0.0000 0.0000 0.5000
Tb2 0.0000 0.5000 0.0000
Tb3 0.5000 0.0000 0.0000
U1 0.5000 0.5000 0.5000
S1 0.2310 0.2310 0.2310
S2 0.2312 0.7308 0.7308
S3 0.2692 0.2692 0.7688
S4 0.2692 0.7688 0.2692
S5 0.7308 0.2312 0.7308
S6 0.7308 0.7308 0.2312
S7 0.7688 0.2692 0.2692
S8 0.7690 0.7690 0.7690
```

Results
theoretical density: 4.858 g/cm³
symmetry: R-3m, No. 166



| no. | VASP energy (eV per atom) |
| --- | --- |
| 1 | -5.926 |
| 2 | -5.973 |
| 3 | -5.593 |